1.
The following is a DFT calculation (PBE) of a relaxed HfTi2CdN crystal.

a b c (Å): 4.213 4.213 4.431
angles (deg): 90.00 90.00 90.00
Space group P4/mmm (No. 123)
Inequivalent atoms, fractional coordinates:
Hf1 0.000 0.000 0.000 x1
Ti1 0.000 0.500 0.500 x2
Cd1 0.500 0.500 0.000 x1
N1 0.000 0.000 0.500 x1

Results
The energy relative to the elements, uncorrected comes out at -75.1 kJ per mole of atoms. The electronic total energy is -38.88 eV/f.u.

***

2.
The following is a DFT calculation (PBE) of a relaxed HfTlCdN2 crystal.

a b c (Å): 4.306 4.306 5.292
angles (deg): 90.00 90.00 90.00
Space group P4/mmm (No. 123)
Inequivalent atoms, fractional coordinates:
Hf1 0.000 0.000 0.000 x1
Tl1 0.500 0.500 0.500 x1
Cd1 0.500 0.500 0.000 x1
N1 0.000 0.500 0.500 x2

Results
The energy relative to the elements, uncorrected comes out at 187.2 kJ per mole of atoms. The electronic total energy is -20.18 eV/f.u.

***

3.
The following is a DFT calculation (PBE) of a relaxed Hf2VCdN crystal.

a b c (Å): 4.541 4.541 3.907
angles (deg): 90.00 90.00 90.00
Space group P4/mmm (No. 123)
Inequivalent atoms, fractional coordinates:
Hf1 0.000 0.500 0.000 x2
V1 0.000 0.000 0.500 x1
Cd1 0.500 0.500 0.500 x1
N1 0.000 0.000 0.000 x1

Results
The energy relative to the elements, uncorrected comes out at -62.1 kJ per mole of atoms. The electronic total energy is -41.48 eV/f.u.

***

4.
The following is a DFT calculation (PBE) of a relaxed Hf2ZrCdN crystal.

a b c (Å): 4.436 4.436 4.570
angles (deg): 90.00 90.00 90.00
Space group P4/mmm (No. 123)
Inequivalent atoms, fractional coordinates:
Hf1 0.000 0.500 0.000 x2
Zr1 0.000 0.000 0.500 x1
Cd1 0.500 0.500 0.500 x1
N1 0.000 0.000 0.000 x1

Results
The energy relative to the elements, uncorrected comes out at -72.3 kJ per mole of atoms. The electronic total energy is -41.44 eV/f.u.